Entry 1:
Crystalline Pr5Mg2Co2 at its relaxed geometry, computed with PBE.

Results
The calculation puts the formation energy at 0.00 eV per atom.

a b c (Å): 9.4122 9.4122 7.8209
angles (deg): 90.00 90.00 46.69
Positions (direct):
Pr 0.0000 0.0000 0.0000
Pr 0.0738 0.6994 0.6914
Pr 0.1994 0.5738 0.1914
Pr 0.3006 0.9262 0.6914
Pr 0.4262 0.8006 0.1914
Pr 0.5000 0.5000 0.5000
Pr 0.5738 0.1994 0.8086
Pr 0.6994 0.0738 0.3086
Pr 0.8006 0.4262 0.8086
Pr 0.9262 0.3006 0.3086
Mg 0.2294 0.2294 0.0000
Mg 0.2706 0.2706 0.5000
Mg 0.7294 0.7294 0.5000
Mg 0.7706 0.7706 0.0000
Co 0.1075 0.8925 0.3899
Co 0.3925 0.6075 0.8899
Co 0.6075 0.3925 0.1101
Co 0.8925 0.1075 0.6101


Entry 2:
Crystalline MgRe2Se at its relaxed geometry, computed with PBE.

Results
As for the formation energy from raw total energies: 565.5 meV per atom. The energy relative to the lowest polymorph listed for this composition comes out at 471.5 meV/atom.

a b c (Å): 8.8302 8.8302 8.8302
angles (deg): 19.13 19.13 19.13
Positions (direct):
Mg 0.0000 0.0000 0.0000
Re 0.2419 0.2419 0.2419
Re 0.7581 0.7581 0.7581
Se 0.5000 0.5000 0.5000


Entry 3:
Crystalline Dy4TeRu at its relaxed geometry, computed with PBE.

Results
As for the formation energy from raw total energies: -654.8 meV per atom. The energy relative to the lowest polymorph listed for this composition comes out at 0.0 meV/atom.

a b c (Å): 8.1301 4.0084 19.4471
angles (deg): 90.00 90.00 90.00
Positions (direct):
Dy 0.0026 0.2500 0.0677
Dy 0.0449 0.7500 0.2147
Dy 0.1386 0.7500 0.6437
Dy 0.1419 0.7500 0.4529
Dy 0.3581 0.2500 0.9529
Dy 0.3614 0.2500 0.1437
Dy 0.4551 0.2500 0.7147
Dy 0.4974 0.7500 0.5677
Dy 0.5026 0.2500 0.4323
Dy 0.5449 0.7500 0.2853
Dy 0.6386 0.7500 0.8563
Dy 0.6419 0.7500 0.0471
Dy 0.8581 0.2500 0.5471
Dy 0.8614 0.2500 0.3563
Dy 0.9551 0.2500 0.7853
Dy 0.9974 0.7500 0.9323
Te 0.2435 0.2500 0.3093
Te 0.2565 0.7500 0.8093
Te 0.7435 0.2500 0.1907
Te 0.7565 0.7500 0.6907
Ru 0.2445 0.2500 0.5500
Ru 0.2555 0.7500 0.0500
Ru 0.7445 0.2500 0.9500
Ru 0.7555 0.7500 0.4500


Entry 4:
Crystalline CrCoNi2 at its relaxed geometry, computed with PBE.

Results
The calculation puts the formation energy at 0.02 eV per atom.

a b c (Å): 4.3325 4.3325 4.3325
angles (deg): 132.05 132.05 70.15
Positions (direct):
Cr 0.0000 0.0000 0.0000
Co 0.2500 0.7500 0.5000
Ni 0.5000 0.5000 0.0000
Ni 0.7500 0.2500 0.5000


Entry 5:
Crystalline MgGaSnS4 at its relaxed geometry, computed with PBE.

Results
As for the formation energy from raw total energies: -721.3 meV per atom.

a b c (Å): 7.5554 7.5554 7.5554
angles (deg): 120.99 119.41 89.66
Positions (direct):
Mg 0.0000 0.0000 0.0000
Mg 0.5000 0.0000 0.5000
Ga 0.3703 0.6203 0.7500
Ga 0.6297 0.3797 0.2500
Sn 0.0000 0.0000 0.5000
Sn 0.0000 0.5000 0.0000
S 0.2499 0.2394 0.4895
S 0.2500 0.2448 0.0052
S 0.2499 0.7603 0.0105
S 0.2604 0.7552 0.5052
S 0.7396 0.2448 0.4948
S 0.7501 0.2397 0.9895
S 0.7500 0.7552 0.9948
S 0.7501 0.7606 0.5105


Entry 6:
Crystalline In2PAu at its relaxed geometry, computed with PBE.

Results
The calculation puts the formation energy at -0.05 eV per atom.

a b c (Å): 3.9667 6.9483 8.3874
angles (deg): 105.26 103.64 106.38
Positions (direct):
In 0.0000 0.0000 0.0000
In 0.1072 0.3733 0.8392
In 0.3596 0.3222 0.4034
In 0.7344 0.8976 0.5708
P 0.1536 0.9228 0.3841
P 0.7217 0.2869 0.1607
Au 0.6697 0.6067 0.7346
Au 0.8624 0.6287 0.0986


Entry 7:
Crystalline BeTl2CdIr at its relaxed geometry, computed with PBE.

Results
The calculation puts the formation energy at 0.51 eV per atom.

a b c (Å): 5.0181 5.0181 4.2657
angles (deg): 90.00 90.00 90.00
Positions (direct):
Be 0.0000 0.0000 0.0000
Tl 0.0000 0.5000 0.0000
Tl 0.5000 0.0000 0.0000
Cd 0.5000 0.5000 0.5000
Ir 0.0000 0.0000 0.5000


Entry 8:
Crystalline Ga2FeTe at its relaxed geometry, computed with PBE.

Results
As for the formation energy from raw total energies: 398.3 meV per atom.

a b c (Å): 7.3847 7.3847 7.3847
angles (deg): 132.29 132.29 69.76
Positions (direct):
Ga 0.0710 0.6250 0.9460
Ga 0.3750 0.3210 0.4460
Ga 0.6790 0.1250 0.0540
Ga 0.8750 0.9290 0.5540
Fe 0.0000 0.0000 0.0000
Fe 0.7500 0.2500 0.5000
Te 0.2500 0.7500 0.5000
Te 0.5000 0.5000 0.0000


Entry 9:
Crystalline Zr2CrCu at its relaxed geometry, computed with PBE.

Results
The calculation puts the formation energy at 0.37 eV per atom.

a b c (Å): 9.3670 9.3670 9.3670
angles (deg): 18.88 18.88 18.88
Positions (direct):
Zr 0.0000 0.0000 0.0000
Zr 0.2343 0.2343 0.2343
Cr 0.4849 0.4849 0.4849
Cu 0.7473 0.7473 0.7473


Entry 10:
Crystalline Sr2YSb at its relaxed geometry, computed with PBE.

Results
As for the formation energy from raw total energies: -449.0 meV per atom.

a b c (Å): 4.0409 4.0409 9.7643
angles (deg): 90.00 90.00 90.00
Positions (direct):
Sr 0.0000 0.0000 0.0000
Sr 0.5000 0.5000 0.3477
Y 0.0000 0.0000 0.6398
Sb 0.5000 0.5000 0.7767


Entry 11:
Crystalline La7Pr4Y at its relaxed geometry, computed with PBE.

Results
The energy relative to the lowest polymorph listed for this composition comes out at 190.6 meV/atom. The calculation puts the formation energy at 0.21 eV per atom.

a b c (Å): 9.0481 9.0481 9.8903
angles (deg): 120.41 120.41 39.89
Positions (direct):
La 0.0000 0.0000 0.0000
La 0.2287 0.2287 0.6834
La 0.3131 0.3131 0.1039
La 0.4245 0.4245 0.5747
La 0.5755 0.5755 0.4253
La 0.6869 0.6869 0.8961
La 0.7713 0.7713 0.3166
Pr 0.0426 0.0426 0.7191
Pr 0.1876 0.1876 0.3207
Pr 0.8124 0.8124 0.6793
Pr 0.9574 0.9574 0.2809
Y 0.5000 0.5000 0.0000


Entry 12:
Crystalline La2Tb3Tm at its relaxed geometry, computed with PBE.

Results
The energy relative to the lowest polymorph listed for this composition comes out at 90.0 meV/atom. The calculation puts the formation energy at 0.19 eV per atom.

a b c (Å): 7.7552 7.7552 6.7414
angles (deg): 90.68 90.68 96.14
Positions (direct):
La 0.0710 0.5918 0.7559
La 0.4082 0.9290 0.7441
La 0.5918 0.0710 0.2559
La 0.9290 0.4082 0.2441
Tb 0.2653 0.7347 0.2500
Tb 0.3310 0.3347 0.5033
Tb 0.3347 0.3310 0.0033
Tb 0.6653 0.6690 0.9967
Tb 0.6690 0.6653 0.4967
Tb 0.7347 0.2653 0.7500
Tm 0.0000 0.0000 0.0000
Tm 0.0000 0.0000 0.5000


| no. | E_tot (eV per atom) |
| --- | --- |
| 1 | -4.585 |
| 2 | -6.928 |
| 3 | -5.792 |
| 4 | -7.057 |
| 5 | -4.312 |
| 6 | -3.589 |
| 7 | -3.135 |
| 8 | -4.016 |
| 9 | -7.335 |
| 10 | -3.937 |
| 11 | -4.800 |
| 12 | -4.518 |